{
  "formula": "Ti4NiN2",
  "functional": "PBE",
  "state": "optimized geometry",
  "lattice": [[1.521, -5.093, 0.000], [1.521, 5.093, 0.000], [0.000, 0.000, 10.796]],
  "species": ["Ti", "Ti", "Ti", "Ti", "Ti", "Ti", "Ti", "Ti", "Ni", "Ni", "N", "N", "N", "N"],
  "frac_coords": [[0.000, 0.000, 0.000], [0.000, 0.000, 0.500], [0.264, 0.736, 0.608], [0.264, 0.736, 0.892], [0.425, 0.575, 0.250], [0.575, 0.425, 0.750], [0.736, 0.264, 0.108], [0.736, 0.264, 0.392], [0.111, 0.889, 0.250], [0.889, 0.111, 0.750], [0.366, 0.634, 0.061], [0.366, 0.634, 0.439], [0.634, 0.366, 0.561], [0.634, 0.366, 0.939]],
  "e_tot_ev_per_atom": -8.9214,
  "formation_energy_uncorrected_mev_per_atom": -1205
}

***

{
  "formula": "TiNi2N",
  "functional": "PBE",
  "state": "optimized geometry",
  "lattice": [[5.604, 0.000, 0.000], [0.000, 5.604, 0.000], [0.000, 0.000, 5.604]],
  "species": ["Ti", "Ti", "Ti", "Ti", "Ni", "Ni", "Ni", "Ni", "Ni", "Ni", "Ni", "Ni", "N", "N", "N", "N"],
  "frac_coords": [[0.000, 0.000, 0.000], [0.000, 0.500, 0.500], [0.500, 0.000, 0.500], [0.500, 0.500, 0.000], [0.250, 0.250, 0.250], [0.250, 0.250, 0.750], [0.250, 0.750, 0.250], [0.250, 0.750, 0.750], [0.750, 0.250, 0.250], [0.750, 0.250, 0.750], [0.750, 0.750, 0.250], [0.750, 0.750, 0.750], [0.000, 0.000, 0.500], [0.000, 0.500, 0.000], [0.500, 0.000, 0.000], [0.500, 0.500, 0.500]],
  "e_tot_ev_per_atom": -6.3438,
  "formation_energy_uncorrected_mev_per_atom": 602
}

***

{
  "formula": "Ti3Ni2N",
  "functional": "PBE",
  "state": "optimized geometry",
  "lattice": [[2.793, -4.879, 0.000], [2.793, 4.879, 0.000], [-1.522, 0.000, 5.682]],
  "species": ["Ti", "Ti", "Ti", "Ti", "Ti", "Ti", "Ni", "Ni", "Ni", "Ni", "N", "N"],
  "frac_coords": [[0.055, 0.442, 0.775], [0.179, 0.179, 0.183], [0.442, 0.055, 0.775], [0.558, 0.945, 0.225], [0.821, 0.821, 0.817], [0.945, 0.558, 0.225], [0.000, 0.000, 0.500], [0.381, 0.619, 0.500], [0.500, 0.500, 0.000], [0.619, 0.381, 0.500], [0.173, 0.827, 0.000], [0.827, 0.173, 0.000]],
  "e_tot_ev_per_atom": -7.8401,
  "formation_energy_uncorrected_mev_per_atom": -578
}

***

{
  "formula": "TiNiN3",
  "functional": "PBE",
  "state": "optimized geometry",
  "lattice": [[3.607, 0.000, 0.000], [0.000, 3.607, 0.000], [0.000, 0.000, 3.607]],
  "species": ["Ti", "Ni", "N", "N", "N"],
  "frac_coords": [[0.000, 0.000, 0.000], [0.500, 0.500, 0.500], [0.000, 0.500, 0.500], [0.500, 0.000, 0.500], [0.500, 0.500, 0.000]],
  "e_tot_ev_per_atom": -6.9014,
  "formation_energy_uncorrected_mev_per_atom": 829
}

***

{
  "formula": "TiNi2N",
  "functional": "PBE",
  "state": "optimized geometry",
  "lattice": [[4.190, 0.000, 0.000], [0.000, 4.190, 0.000], [0.000, 0.000, 11.708]],
  "species": ["Ti", "Ti", "Ti", "Ti", "Ni", "Ni", "Ni", "Ni", "Ni", "Ni", "Ni", "Ni", "N", "N", "N", "N"],
  "frac_coords": [[0.000, 0.000, 0.000], [0.000, 0.500, 0.250], [0.500, 0.000, 0.750], [0.500, 0.500, 0.500], [0.115, 0.250, 0.625], [0.250, 0.615, 0.875], [0.250, 0.885, 0.375], [0.385, 0.250, 0.125], [0.615, 0.750, 0.125], [0.750, 0.115, 0.375], [0.750, 0.385, 0.875], [0.885, 0.750, 0.625], [0.000, 0.000, 0.500], [0.000, 0.500, 0.750], [0.500, 0.000, 0.250], [0.500, 0.500, 0.000]],
  "e_tot_ev_per_atom": -6.7352,
  "formation_energy_uncorrected_mev_per_atom": 211
}

***

{
  "formula": "Ti6NiN3",
  "functional": "PBE",
  "state": "optimized geometry",
  "lattice": [[9.065, 0.000, 0.000], [0.000, 3.016, 0.000], [-3.289, 0.000, 8.931]],
  "species": ["Ti", "Ti", "Ti", "Ti", "Ti", "Ti", "Ti", "Ti", "Ti", "Ti", "Ti", "Ti", "Ni", "Ni", "N", "N", "N", "N", "N", "N"],
  "frac_coords": [[0.037, 0.250, 0.373], [0.138, 0.750, 0.130], [0.268, 0.250, 0.664], [0.340, 0.750, 0.438], [0.356, 0.750, 0.941], [0.433, 0.250, 0.223], [0.567, 0.750, 0.777], [0.644, 0.250, 0.059], [0.660, 0.250, 0.562], [0.732, 0.750, 0.336], [0.862, 0.250, 0.870], [0.963, 0.750, 0.627], [0.128, 0.250, 0.888], [0.872, 0.750, 0.112], [0.148, 0.750, 0.522], [0.230, 0.250, 0.283], [0.462, 0.250, 0.857], [0.538, 0.750, 0.143], [0.770, 0.750, 0.717], [0.852, 0.250, 0.478]],
  "e_tot_ev_per_atom": -8.9910,
  "formation_energy_uncorrected_mev_per_atom": -1178
}

***

{
  "formula": "TiNiN3",
  "functional": "PBE",
  "state": "optimized geometry",
  "lattice": [[3.873, 0.000, 0.000], [0.000, 3.873, 0.000], [0.000, 0.000, 3.873]],
  "species": ["Ti", "Ni", "N", "N", "N"],
  "frac_coords": [[0.000, 0.000, 0.000], [0.500, 0.500, 0.500], [0.000, 0.000, 0.500], [0.000, 0.500, 0.000], [0.500, 0.000, 0.000]],
  "e_tot_ev_per_atom": -6.7084,
  "formation_energy_uncorrected_mev_per_atom": 1022
}

***

{
  "formula": "Ti5NiN6",
  "functional": "PBE",
  "state": "optimized geometry",
  "lattice": [[2.608, -4.498, 0.000], [2.608, 4.498, 0.000], [-1.762, 0.000, 4.890]],
  "species": ["Ti", "Ti", "Ti", "Ti", "Ti", "Ni", "N", "N", "N", "N", "N", "N"],
  "frac_coords": [[0.000, 0.000, 0.000], [0.167, 0.833, 0.500], [0.340, 0.660, 0.000], [0.660, 0.340, 0.000], [0.833, 0.167, 0.500], [0.500, 0.500, 0.500], [0.078, 0.415, 0.245], [0.246, 0.246, 0.752], [0.415, 0.078, 0.245], [0.585, 0.922, 0.755], [0.754, 0.754, 0.248], [0.922, 0.585, 0.755]],
  "e_tot_ev_per_atom": -9.2601,
  "formation_energy_uncorrected_mev_per_atom": -1326
}

***

{
  "formula": "Ti8NiN2",
  "functional": "PBE",
  "state": "optimized geometry",
  "lattice": [[5.698, -2.904, 0.000], [5.698, 2.904, 0.000], [-0.882, 0.000, 5.136]],
  "species": ["Ti", "Ti", "Ti", "Ti", "Ti", "Ti", "Ti", "Ti", "Ni", "N", "N"],
  "frac_coords": [[0.138, 0.138, 0.706], [0.149, 0.668, 0.782], [0.313, 0.313, 0.225], [0.332, 0.851, 0.218], [0.668, 0.149, 0.782], [0.687, 0.687, 0.775], [0.851, 0.332, 0.218], [0.862, 0.862, 0.294], [0.500, 0.500, 0.500], [0.307, 0.307, 0.849], [0.693, 0.693, 0.151]],
  "e_tot_ev_per_atom": -8.1341,
  "formation_energy_uncorrected_mev_per_atom": -353
}

***

{
  "formula": "Ti6NiN4",
  "functional": "PBE",
  "state": "optimized geometry",
  "lattice": [[1.517, -5.088, 0.000], [1.517, 5.088, 0.000], [0.000, 0.000, 15.821]],
  "species": ["Ti", "Ti", "Ti", "Ti", "Ti", "Ti", "Ti", "Ti", "Ti", "Ti", "Ti", "Ti", "Ni", "Ni", "N", "N", "N", "N", "N", "N", "N", "N"],
  "frac_coords": [[0.000, 0.000, 0.000], [0.000, 0.000, 0.500], [0.153, 0.847, 0.750], [0.277, 0.723, 0.079], [0.277, 0.723, 0.421], [0.462, 0.538, 0.652], [0.462, 0.538, 0.848], [0.538, 0.462, 0.152], [0.538, 0.462, 0.348], [0.723, 0.277, 0.579], [0.723, 0.277, 0.921], [0.847, 0.153, 0.250], [0.161, 0.839, 0.250], [0.839, 0.161, 0.750], [0.093, 0.907, 0.622], [0.093, 0.907, 0.878], [0.363, 0.637, 0.540], [0.363, 0.637, 0.960], [0.637, 0.363, 0.040], [0.637, 0.363, 0.460], [0.907, 0.093, 0.122], [0.907, 0.093, 0.378]],
  "e_tot_ev_per_atom": -9.2702,
  "formation_energy_uncorrected_mev_per_atom": -1411
}

***

{
  "formula": "Ti7Ni3N10",
  "functional": "PBE",
  "state": "optimized geometry",
  "lattice": [[-2.664, 7.066, 2.543], [2.664, -7.066, 2.543], [2.664, 7.066, -2.543]],
  "species": ["Ti", "Ti", "Ti", "Ti", "Ti", "Ti", "Ti", "Ni", "Ni", "Ni", "N", "N", "N", "N", "N", "N", "N", "N", "N", "N"],
  "frac_coords": [[0.000, 0.000, 0.000], [0.197, 0.497, 0.700], [0.395, 0.995, 0.400], [0.405, 0.506, 0.899], [0.595, 0.995, 0.600], [0.606, 0.506, 0.101], [0.798, 0.497, 0.300], [0.146, 0.944, 0.202], [0.742, 0.944, 0.798], [0.939, 0.439, 0.500], [0.144, 0.085, 0.543], [0.144, 0.601, 0.058], [0.353, 0.114, 0.761], [0.353, 0.592, 0.239], [0.542, 0.085, 0.942], [0.542, 0.601, 0.457], [0.729, 0.081, 0.151], [0.729, 0.578, 0.648], [0.930, 0.081, 0.352], [0.930, 0.578, 0.849]],
  "e_tot_ev_per_atom": -8.7015,
  "formation_energy_uncorrected_mev_per_atom": -908
}

***

{
  "formula": "Ti7Ni2N2",
  "functional": "PBE",
  "state": "optimized geometry",
  "lattice": [[3.217, -4.212, 0.000], [3.217, 4.212, 0.000], [0.000, 0.000, 5.450]],
  "species": ["Ti", "Ti", "Ti", "Ti", "Ti", "Ti", "Ti", "Ni", "Ni", "N", "N"],
  "frac_coords": [[0.000, 0.000, 0.000], [0.000, 0.500, 0.244], [0.000, 0.500, 0.756], [0.500, 0.000, 0.244], [0.500, 0.000, 0.756], [0.500, 0.500, 0.239], [0.500, 0.500, 0.761], [0.171, 0.171, 0.500], [0.829, 0.829, 0.500], [0.270, 0.730, 0.000], [0.730, 0.270, 0.000]],
  "e_tot_ev_per_atom": -8.1539,
  "formation_energy_uncorrected_mev_per_atom": -565
}